# 1
LiVBO4 | Alexandria via LeMat-Bulk | meta-GGA SCAN | PBEsol geometry; crystal system = monoclinic; uncorrected formation energy = -2.5315 eV per atom; volume = 301.3 Å³ per cell
1.0
8.196 0.000 0.000
0.000 4.776 0.000
-2.296 0.000 7.698
Li V B O
4 4 4 16
direct
0.000 0.170 0.000 Li
0.000 0.830 0.500 Li
0.496 0.314 0.380 Li
0.496 0.686 0.880 Li
0.247 0.180 0.761 V
0.247 0.820 0.261 V
0.745 0.323 0.140 V
0.745 0.677 0.640 V
0.121 0.314 0.377 B
0.121 0.686 0.877 B
0.623 0.191 0.770 B
0.623 0.809 0.270 B
0.113 0.198 0.544 O
0.113 0.802 0.044 O
0.146 0.382 0.891 O
0.146 0.618 0.391 O
0.262 0.183 0.322 O
0.262 0.817 0.822 O
0.463 0.284 0.808 O
0.463 0.716 0.308 O
0.620 0.111 0.242 O
0.620 0.889 0.742 O
0.642 0.341 0.618 O
0.642 0.659 0.118 O
0.763 0.273 0.923 O
0.763 0.727 0.423 O
0.962 0.240 0.243 O
0.962 0.760 0.743 O



# 2
Sb2AuSe | Alexandria via LeMat-Bulk | meta-GGA SCAN | PBEsol geometry; crystal system = orthorhombic; uncorrected formation energy = 0.2007 eV per atom; volume = 92.8 Å³ per cell
1.0
-1.881 2.888 4.272
1.881 -2.888 4.272
1.881 2.888 -4.272
Sb Au Se
2 1 1
direct
0.242 0.242 0.000 Sb
0.758 0.758 0.000 Sb
0.000 0.500 0.500 Au
0.500 0.000 0.500 Se



# 3
SrTlGa2 | Alexandria via LeMat-Bulk | meta-GGA SCAN | PBEsol geometry; crystal system = cubic; volume = 97.3 Å³ per cell
1.0
0.000 3.650 3.650
3.650 0.000 3.650
3.650 3.650 0.000
Sr Tl Ga
1 1 2
direct
0.000 0.000 0.000 Sr
0.500 0.500 0.500 Tl
0.250 0.250 0.250 Ga
0.750 0.750 0.750 Ga



# 4
Y2Ru | Alexandria via LeMat-Bulk | meta-GGA SCAN | PBEsol geometry; crystal system = monoclinic; volume = 144.3 Å³ per cell
1.0
5.585 -1.927 0.000
5.585 1.927 0.000
-4.320 0.000 6.704
Y Ru
4 2
direct
0.081 0.081 0.376 Y
0.323 0.323 0.910 Y
0.677 0.677 0.090 Y
0.919 0.919 0.624 Y
0.371 0.371 0.312 Ru
0.629 0.629 0.688 Ru



# 5
Ti3SiH | Alexandria via LeMat-Bulk | meta-GGA SCAN | PBEsol geometry; crystal system = cubic; volume = 61.8 Å³ per cell
1.0
3.954 0.000 0.000
0.000 3.954 0.000
0.000 0.000 3.954
Ti Si H
3 1 1
direct
0.000 0.000 0.500 Ti
0.000 0.500 0.000 Ti
0.500 0.000 0.000 Ti
0.500 0.500 0.500 Si
0.000 0.000 0.000 H



# 6
MgCdHg | Alexandria via LeMat-Bulk | meta-GGA SCAN | PBEsol geometry; crystal system = tetragonal; volume = 62.6 Å³ per cell
1.0
-1.611 1.611 6.029
1.611 -1.611 6.029
1.611 1.611 -6.029
Mg Cd Hg
1 1 1
direct
0.000 0.000 0.000 Mg
0.332 0.332 0.000 Cd
0.657 0.657 0.000 Hg



no.,uncorrected energy (eV for the cell shown)
1,-279.81
2,-162.95
3,-128.10
4,-183.05
5,-64.22
6,-104.06